# TlP2Se GGA-PBE relaxed
# Formation energy from raw total energies: 0.531 eV per atom
# Total DFT energy (no corrections): -0.26727 Ry per atom
# Excess energy over the best structure of this formula in the dataset: 1.860 eV/f.u.
data_TlP2Se
_symmetry_space_group_name_H-M 'I m m m'
_symmetry_Int_Tables_number 71
_symmetry_space_group_name_Hall '-I 2 2'
_cell_length_a 3.335
_cell_length_b 5.674
_cell_length_c 9.254
_cell_angle_alpha 90.00
_cell_angle_beta 90.00
_cell_angle_gamma 90.00
loop_
_atom_site_label
_atom_site_fract_x
_atom_site_fract_y
_atom_site_fract_z
Tl1 0.000 0.000 0.000
P1 0.000 0.500 0.206
Se1 0.000 0.000 0.500